# KSrAl, relaxed, DFT GGA-PBEsol
# formation energy = 0.308 eV per atom
data_KSrAl
_chemical_formula_sum 'K1 Sr1 Al1'
_cell_length_a 5.7365
_cell_length_b 5.7365
_cell_length_c 3.6018
_cell_angle_alpha 90.00
_cell_angle_beta 90.00
_cell_angle_gamma 120.00
_space_group_name_H-M_alt 'P 3 m 1'
_space_group_IT_number 156
_space_group_name_Hall 'P 3 -2"'
loop_
_atom_site_label
_atom_site_fract_x
_atom_site_fract_y
_atom_site_fract_z
K1 0.0000 0.0000 0.0000
Sr1 0.3333 0.6667 0.2441
Al1 0.6667 0.3333 0.6536